A plane-wave DFT calculation with PBE-GGA was carried out for a relaxed LuBrO crystal.

## Properties
Raw total energy in eV per atom: -6.653
Formation energy from raw total energies in eV per atom: -2.9355

Unit cell a=3.757 b=3.757 c=9.258 alpha=90.00 beta=90.00 gamma=90.00
Fractional coordinates of all 6 atoms:
Lu 0.000 0.500 0.382
Lu 0.500 0.000 0.618
Br 0.500 0.000 0.199
Br 0.000 0.500 0.801
O 0.000 0.000 0.500
O 0.500 0.500 0.500



A plane-wave DFT calculation with PBE-GGA was carried out for a relaxed CeZrCu10 crystal.

## Properties
Raw total energy in eV per atom: -4.696
Formation energy in eV/atom: -0.076

Unit cell a=4.112 b=4.991 c=8.626 alpha=90.00 beta=90.00 gamma=90.00
Last column: magnetic moment on the atom in μB.
Fractional coordinates of all 12 atoms:
Ce 0.000 0.000 0.000  0.72
Zr 0.000 0.500 0.500  0.08
Cu 0.000 0.000 0.341  0.01
Cu 0.000 0.500 0.824  0.01
Cu 0.000 0.500 0.176  0.01
Cu 0.000 0.000 0.659  0.01
Cu 0.500 0.000 0.500  0.01
Cu 0.500 0.500 0.000  0.01
Cu 0.500 0.255 0.258  0.01
Cu 0.500 0.745 0.742  0.01
Cu 0.500 0.745 0.258  0.01
Cu 0.500 0.255 0.742  0.01



A plane-wave DFT calculation with PBE-GGA was carried out for a relaxed RbNdSnBr6 crystal.

## Properties
Raw total energy in eV per atom: -3.706
Formation energy from raw total energies in eV per atom: -1.5091

Unit cell a=7.720 b=7.720 c=7.488 alpha=90.00 beta=90.00 gamma=60.00
Fractional coordinates of all 9 atoms:
Rb 0.000 0.000 0.000
Nd 0.333 0.333 0.500
Sn 0.667 0.667 0.500
Br 0.009 0.367 0.276
Br 0.367 0.009 0.724
Br 0.624 0.367 0.724
Br 0.009 0.624 0.724
Br 0.367 0.624 0.276
Br 0.624 0.009 0.276